! Ac2BN3 (PBE, optimized geometry); values from VASP
&SYSTEM
  ibrav = 0, nat = 12, ntyp = 3
/
ATOMIC_SPECIES
Ac 227.00 Ac.upf
B 10.81 B.upf
N 14.01 N.upf
CELL_PARAMETERS angstrom
4.9276 -3.1266 0.0000
4.9276 3.1266 0.0000
-3.2586 0.0000 6.1117
ATOMIC_POSITIONS crystal
Ac 0.0245 0.6536 0.8163
Ac 0.3464 0.9755 0.6837
Ac 0.6536 0.0245 0.3163
Ac 0.9755 0.3464 0.1837
B 0.3941 0.6059 0.2500
B 0.6059 0.3941 0.7500
N 0.1474 0.8526 0.2500
N 0.3521 0.3725 0.5826
N 0.3725 0.3521 0.0826
N 0.6275 0.6479 0.9174
N 0.6479 0.6275 0.4174
N 0.8526 0.1474 0.7500
! Offset from the most stable computed form: 0 meV/atom
! Magnetization: 0.00 μB per atom
! SG: C2/c (15)

---

! AcB2N (PBE, optimized geometry); values from VASP
&SYSTEM
  ibrav = 0, nat = 12, ntyp = 3
/
ATOMIC_SPECIES
Ac 227.00 Ac.upf
B 10.81 B.upf
N 14.01 N.upf
CELL_PARAMETERS angstrom
3.3231 1.9186 4.1917
-3.3231 1.9186 4.1917
0.0000 -3.8372 4.1917
ATOMIC_POSITIONS crystal
Ac 0.0000 0.0000 0.0000
Ac 0.3166 0.3166 0.3166
Ac 0.6834 0.6834 0.6834
B 0.2180 0.5000 0.7820
B 0.2180 0.7820 0.5000
B 0.5000 0.2180 0.7820
B 0.5000 0.7820 0.2180
B 0.7820 0.2180 0.5000
B 0.7820 0.5000 0.2180
N 0.0000 0.0000 0.5000
N 0.0000 0.5000 0.0000
N 0.5000 0.0000 0.0000
! Total DFT energy (no corrections): -7.174 eV/atom
! Magnetization: 0.00 μB per atom
! SG: R-3m (166)